VASP calculation (PBE) on a relaxed structure of AcEu2Bi.

Cell and atoms, written as CIF:
```
data_AcEu2Bi
_space_group_name_H-M_alt 'P 1'
_space_group_IT_number 1
_space_group_name_Hall 'P 1'
_cell_length_a 4.3802
_cell_length_b 4.3802
_cell_length_c 7.6744
_cell_angle_alpha 90.00
_cell_angle_beta 90.00
_cell_angle_gamma 90.00
loop_
_atom_site_label
_atom_site_type_symbol
_atom_site_fract_x
_atom_site_fract_y
_atom_site_fract_z
_atom_site_occupancy
Ac1 Ac 0.0000 0.0000 0.0000 1
Eu1 Eu 0.5000 0.5000 0.2914 1
Eu2 Eu 0.5000 0.5000 0.7086 1
Bi1 Bi 0.0000 0.0000 0.5000 1
```

Results
Polymorph energy (0 for the lowest one)   0.020 eV/atom
SG   P4/mmm
E_form   -9.29 kcal/mol of atoms